1.
# ZrSc4Zn GGA-PBE relaxed
data_ZrSc4Zn
_cell_length_a 8.2146
_cell_length_b 8.2146
_cell_length_c 8.2146
_cell_angle_alpha 90.00
_cell_angle_beta 90.00
_cell_angle_gamma 90.00
_symmetry_space_group_name_H-M 'F -4 3 m'
_symmetry_Int_Tables_number 216
_symmetry_space_group_name_Hall 'F -4 2 3'
loop_
_atom_site_label
_atom_site_fract_x
_atom_site_fract_y
_atom_site_fract_z
Zr1 0.0000 0.0000 0.0000
Sc1 0.1255 0.1255 0.6255
Zn1 0.2500 0.2500 0.2500
# Energy above the most stable polymorph in this dataset: 2.56 eV per formula unit
# E_tot: -5.54 eV per atom
# Density of states at the Fermi level: 26.5 states/eV per cell
# M_tot: 0.273 μB/atom

2.
# ZrScZn2 GGA-PBE relaxed
data_ZrScZn2
_cell_length_a 3.1177
_cell_length_b 3.1177
_cell_length_c 7.8242
_cell_angle_alpha 90.00
_cell_angle_beta 90.00
_cell_angle_gamma 90.00
_symmetry_space_group_name_H-M 'P 4 m m'
_symmetry_Int_Tables_number 99
loop_
_symmetry_equiv_pos_as_xyz
'x,y,z'
'-y,x,z'
'-x,-y,z'
'y,-x,z'
'-x,y,z'
'y,x,z'
'x,-y,z'
'-y,-x,z'
loop_
_atom_site_label
_atom_site_fract_x
_atom_site_fract_y
_atom_site_fract_z
Zr1 0.0000 0.0000 0.0000
Sc1 0.5000 0.5000 0.2936
Zn1 0.0000 0.0000 0.5471
Zn2 0.5000 0.5000 0.7418
# E_tot: -4.55 eV per atom
# Density of states at the Fermi level: 2.8 states/eV per cell
# M_tot: 0.000 μB/atom

3.
# ZrSc2Zn GGA-PBE relaxed
data_ZrSc2Zn
_cell_length_a 11.4973
_cell_length_b 3.3909
_cell_length_c 4.8333
_cell_angle_alpha 90.00
_cell_angle_beta 114.84
_cell_angle_gamma 90.00
_symmetry_space_group_name_H-M 'C 1 m 1'
_symmetry_Int_Tables_number 8
loop_
_symmetry_equiv_pos_as_xyz
'x,y,z'
'x,-y,z'
'x+1/2,y+1/2,z'
'x+1/2,-y+1/2,z'
loop_
_atom_site_label
_atom_site_fract_x
_atom_site_fract_y
_atom_site_fract_z
Zr1 0.0000 0.0000 0.0000
Sc1 0.0662 0.5000 0.5662
Sc2 0.2814 0.5000 0.2798
Zn1 0.2800 0.0000 0.7775
# E_tot: -5.77 eV per atom
# Density of states at the Fermi level: 9.3 states/eV per cell
# M_tot: 0.000 μB/atom

4.
# Zr2ScZn6 GGA-PBE relaxed
data_Zr2ScZn6
_cell_length_a 7.5397
_cell_length_b 7.5397
_cell_length_c 3.1876
_cell_angle_alpha 90.00
_cell_angle_beta 90.00
_cell_angle_gamma 120.00
_symmetry_space_group_name_H-M 'P 6/m m m'
_symmetry_Int_Tables_number 191
_symmetry_space_group_name_Hall '-P 6 2'
loop_
_atom_site_label
_atom_site_fract_x
_atom_site_fract_y
_atom_site_fract_z
Zr1 0.3333 0.6667 0.0000
Sc1 0.0000 0.0000 0.0000
Zn1 0.0000 0.3333 0.5000
# E_tot: -3.77 eV per atom
# Density of states at the Fermi level: 6.5 states/eV per cell
# M_tot: 0.000 μB/atom